Version A
{
  "formula": "PrPuPtAu",
  "functional": "GGA-PBE",
  "state": "relaxed",
  "spacegroup": "F-43m",
  "dos_at_fermi_per_ev_fu": 12.7,
  "m_tot_mub_per_cell": 5.8,
  "lattice": [[0.000, 3.634, 3.634], [3.634, 0.000, 3.634], [3.634, 3.634, 0.000]],
  "species": ["Pr", "Pu", "Pt", "Au"],
  "fractional_positions": [[0.000, 0.000, 0.000], [0.500, 0.500, 0.500], [0.750, 0.750, 0.750], [0.250, 0.250, 0.250]]
}



Version B
{
  "formula": "PrPuPtAu",
  "functional": "GGA-PBE",
  "state": "relaxed",
  "spacegroup": "Amm2",
  "dos_at_fermi_per_ev_fu": 13.5,
  "m_tot_mub_per_cell": 5.6,
  "lattice": [[4.530, 0.000, 0.000], [0.000, 1.975, 5.586], [0.000, -1.975, 5.586]],
  "species": ["Pr", "Pu", "Pt", "Au"],
  "fractional_positions": [[0.000, 0.000, 0.000], [0.500, 0.724, 0.724], [0.000, 0.267, 0.267], [0.500, 0.442, 0.442]]
}



Verdict on stability: version A comes out at the bottom.



Version A
{
  "formula": "PrSmPtAu",
  "functional": "GGA-PBE",
  "state": "relaxed",
  "spacegroup": "F-43m",
  "dos_at_fermi_per_ev_fu": 2.6,
  "m_tot_mub_per_cell": 0.0,
  "lattice": [[0.000, 3.657, 3.657], [3.657, 0.000, 3.657], [3.657, 3.657, 0.000]],
  "species": ["Pr", "Sm", "Pt", "Au"],
  "fractional_positions": [[0.000, 0.000, 0.000], [0.500, 0.500, 0.500], [0.750, 0.750, 0.750], [0.250, 0.250, 0.250]]
}



Version B
{
  "formula": "PrSmPtAu",
  "functional": "GGA-PBE",
  "state": "relaxed",
  "spacegroup": "Amm2",
  "dos_at_fermi_per_ev_fu": 2.9,
  "m_tot_mub_per_cell": 0.0,
  "lattice": [[4.693, 0.000, 0.000], [0.000, 1.961, 5.501], [0.000, -1.961, 5.501]],
  "species": ["Pr", "Sm", "Pt", "Au"],
  "fractional_positions": [[0.000, 0.000, 0.000], [0.500, 0.725, 0.725], [0.000, 0.272, 0.272], [0.500, 0.446, 0.446]]
}



Verdict on stability: version A comes out at the bottom.



Version A
{
  "formula": "TbPrPtAu",
  "functional": "GGA-PBE",
  "state": "relaxed",
  "spacegroup": "Amm2",
  "dos_at_fermi_per_ev_fu": 2.7,
  "m_tot_mub_per_cell": 0.0,
  "lattice": [[4.679, 0.000, 0.000], [0.000, 1.941, 5.452], [0.000, -1.941, 5.452]],
  "species": ["Tb", "Pr", "Pt", "Au"],
  "fractional_positions": [[0.000, 0.000, 0.000], [0.500, 0.275, 0.275], [0.500, 0.547, 0.547], [0.000, 0.720, 0.720]]
}



Version B
{
  "formula": "TbPrPtAu",
  "functional": "GGA-PBE",
  "state": "relaxed",
  "spacegroup": "F-43m",
  "dos_at_fermi_per_ev_fu": 2.7,
  "m_tot_mub_per_cell": 0.0,
  "lattice": [[0.000, 3.629, 3.629], [3.629, 0.000, 3.629], [3.629, 3.629, 0.000]],
  "species": ["Tb", "Pr", "Pt", "Au"],
  "fractional_positions": [[0.000, 0.000, 0.000], [0.500, 0.500, 0.500], [0.250, 0.250, 0.250], [0.750, 0.750, 0.750]]
}



Verdict on stability: version B comes out at the bottom.



Version A
{
  "formula": "PrTmPtAu",
  "functional": "GGA-PBE",
  "state": "relaxed",
  "spacegroup": "Amm2",
  "dos_at_fermi_per_ev_fu": 2.2,
  "m_tot_mub_per_cell": 0.0,
  "lattice": [[4.665, 0.000, 0.000], [0.000, 1.917, 5.411], [0.000, -1.917, 5.411]],
  "species": ["Pr", "Tm", "Pt", "Au"],
  "fractional_positions": [[0.000, 0.000, 0.000], [0.500, 0.724, 0.724], [0.000, 0.270, 0.270], [0.500, 0.444, 0.444]]
}



Version B
{
  "formula": "PrTmPtAu",
  "functional": "GGA-PBE",
  "state": "relaxed",
  "spacegroup": "F-43m",
  "dos_at_fermi_per_ev_fu": 2.6,
  "m_tot_mub_per_cell": 0.0,
  "lattice": [[0.000, 3.601, 3.601], [3.601, 0.000, 3.601], [3.601, 3.601, 0.000]],
  "species": ["Pr", "Tm", "Pt", "Au"],
  "fractional_positions": [[0.000, 0.000, 0.000], [0.500, 0.500, 0.500], [0.250, 0.250, 0.250], [0.750, 0.750, 0.750]]
}



Verdict on stability: version B comes out at the bottom.



Version A
{
  "formula": "PrYPtAu",
  "functional": "GGA-PBE",
  "state": "relaxed",
  "spacegroup": "F-43m",
  "dos_at_fermi_per_ev_fu": 2.6,
  "m_tot_mub_per_cell": 0.0,
  "lattice": [[0.000, 3.626, 3.626], [3.626, 0.000, 3.626], [3.626, 3.626, 0.000]],
  "species": ["Pr", "Y", "Pt", "Au"],
  "fractional_positions": [[0.000, 0.000, 0.000], [0.500, 0.500, 0.500], [0.250, 0.250, 0.250], [0.750, 0.750, 0.750]]
}



Version B
{
  "formula": "PrYPtAu",
  "functional": "GGA-PBE",
  "state": "relaxed",
  "spacegroup": "Amm2",
  "dos_at_fermi_per_ev_fu": 2.5,
  "m_tot_mub_per_cell": 0.0,
  "lattice": [[4.688, 0.000, 0.000], [0.000, 1.938, 5.439], [0.000, -1.938, 5.439]],
  "species": ["Pr", "Y", "Pt", "Au"],
  "fractional_positions": [[0.000, 0.000, 0.000], [0.500, 0.724, 0.724], [0.000, 0.272, 0.272], [0.500, 0.445, 0.445]]
}



Verdict on stability: version A comes out at the bottom.



Version A
{
  "formula": "PrPu2Au",
  "functional": "GGA-PBE",
  "state": "relaxed",
  "spacegroup": "P4/mmm",
  "dos_at_fermi_per_ev_fu": 15.2,
  "m_tot_mub_per_cell": 12.0,
  "lattice": [[3.788, 0.000, 0.000], [0.000, 3.788, 0.000], [0.000, 0.000, 7.762]],
  "species": ["Pr", "Pu", "Pu", "Au"],
  "fractional_positions": [[0.000, 0.000, 0.000], [0.500, 0.500, 0.295], [0.500, 0.500, 0.705], [0.000, 0.000, 0.500]]
}



Version B
{
  "formula": "PrPu2Au",
  "functional": "GGA-PBE",
  "state": "relaxed",
  "spacegroup": "Fm-3m",
  "dos_at_fermi_per_ev_fu": 17.0,
  "m_tot_mub_per_cell": 12.7,
  "lattice": [[0.000, 3.710, 3.710], [3.710, 0.000, 3.710], [3.710, 3.710, 0.000]],
  "species": ["Pr", "Pu", "Pu", "Au"],
  "fractional_positions": [[0.000, 0.000, 0.000], [0.250, 0.250, 0.250], [0.750, 0.750, 0.750], [0.500, 0.500, 0.500]]
}



Verdict on stability: version B comes out at the bottom.



Version A
{
  "formula": "PrPuAu2",
  "functional": "GGA-PBE",
  "state": "relaxed",
  "spacegroup": "P4/mmm",
  "dos_at_fermi_per_ev_fu": 10.5,
  "m_tot_mub_per_cell": 5.7,
  "lattice": [[3.683, 0.000, 0.000], [0.000, 3.683, 0.000], [0.000, 0.000, 7.412]],
  "species": ["Pr", "Pu", "Au", "Au"],
  "fractional_positions": [[0.000, 0.000, 0.000], [0.000, 0.000, 0.500], [0.500, 0.500, 0.253], [0.500, 0.500, 0.747]]
}



Version B
{
  "formula": "PrPuAu2",
  "functional": "GGA-PBE",
  "state": "relaxed",
  "spacegroup": "Fm-3m",
  "dos_at_fermi_per_ev_fu": 11.3,
  "m_tot_mub_per_cell": 5.9,
  "lattice": [[0.000, 3.698, 3.698], [3.698, 0.000, 3.698], [3.698, 3.698, 0.000]],
  "species": ["Pr", "Pu", "Au", "Au"],
  "fractional_positions": [[0.000, 0.000, 0.000], [0.500, 0.500, 0.500], [0.250, 0.250, 0.250], [0.750, 0.750, 0.750]]
}



Version C
{
  "formula": "PrPuAu2",
  "functional": "GGA-PBE",
  "state": "relaxed",
  "spacegroup": "R-3m",
  "dos_at_fermi_per_ev_fu": 15.9,
  "m_tot_mub_per_cell": 6.0,
  "lattice": [[2.174, 1.255, 6.973], [-2.174, 1.255, 6.973], [0.000, -2.510, 6.973]],
  "species": ["Pr", "Pu", "Au", "Au"],
  "fractional_positions": [[0.000, 0.000, 0.000], [0.500, 0.500, 0.500], [0.248, 0.248, 0.248], [0.752, 0.752, 0.752]]
}



Verdict on stability: version C comes out at the bottom.



Version A
{
  "formula": "RbPrAu2",
  "functional": "GGA-PBE",
  "state": "relaxed",
  "spacegroup": "P4/mmm",
  "dos_at_fermi_per_ev_fu": 2.0,
  "m_tot_mub_per_cell": 0.0,
  "lattice": [[3.888, 0.000, 0.000], [0.000, 3.888, 0.000], [0.000, 0.000, 8.361]],
  "species": ["Rb", "Pr", "Au", "Au"],
  "fractional_positions": [[0.000, 0.000, 0.000], [0.000, 0.000, 0.500], [0.500, 0.500, 0.318], [0.500, 0.500, 0.682]]
}



Version B
{
  "formula": "RbPrAu2",
  "functional": "GGA-PBE",
  "state": "relaxed",
  "spacegroup": "P4/mmm",
  "dos_at_fermi_per_ev_fu": 3.5,
  "m_tot_mub_per_cell": 0.0,
  "lattice": [[5.636, 0.000, 0.000], [0.000, 5.636, 0.000], [0.000, 0.000, 3.584]],
  "species": ["Rb", "Pr", "Au", "Au"],
  "fractional_positions": [[0.000, 0.000, 0.000], [0.500, 0.500, 0.000], [0.000, 0.500, 0.500], [0.500, 0.000, 0.500]]
}



Verdict on stability: version B comes out at the bottom.



Version A
{
  "formula": "PrRhAu",
  "functional": "GGA-PBE",
  "state": "relaxed",
  "spacegroup": "C2/m",
  "dos_at_fermi_per_ev_fu": 2.3,
  "m_tot_mub_per_cell": 0.0,
  "lattice": [[5.011, -2.788, 0.000], [5.011, 2.788, 0.000], [-2.646, 0.000, 4.562]],
  "species": ["Pr", "Pr", "Rh", "Rh", "Au", "Au"],
  "fractional_positions": [[0.126, 0.126, 0.375], [0.874, 0.874, 0.625], [0.448, 0.448, 0.702], [0.552, 0.552, 0.298], [0.000, 0.500, 0.000], [0.500, 0.000, 0.000]]
}



Version B
{
  "formula": "PrRhAu",
  "functional": "GGA-PBE",
  "state": "relaxed",
  "spacegroup": "P-6m2",
  "dos_at_fermi_per_ev_fu": 3.1,
  "m_tot_mub_per_cell": 0.0,
  "lattice": [[4.563, 0.000, 0.000], [-2.282, 3.952, 0.000], [0.000, 0.000, 3.821]],
  "species": ["Pr", "Rh", "Au"],
  "fractional_positions": [[0.000, 0.000, 0.000], [0.667, 0.333, 0.500], [0.333, 0.667, 0.500]]
}



Version C
{
  "formula": "PrRhAu",
  "functional": "GGA-PBE",
  "state": "relaxed",
  "spacegroup": "C2/m",
  "dos_at_fermi_per_ev_fu": 1.8,
  "m_tot_mub_per_cell": 0.0,
  "lattice": [[4.063, -2.346, 0.000], [4.063, 2.346, 0.000], [-2.714, 0.000, 7.315]],
  "species": ["Pr", "Pr", "Rh", "Rh", "Au", "Au"],
  "fractional_positions": [[0.242, 0.242, 0.226], [0.758, 0.758, 0.774], [0.368, 0.368, 0.604], [0.632, 0.632, 0.396], [0.000, 0.000, 0.500], [0.500, 0.500, 0.000]]
}



Verdict on stability: version A comes out at the bottom.



Version A
{
  "formula": "Pr4Rh2Au",
  "functional": "GGA-PBE",
  "state": "relaxed",
  "spacegroup": "I-42d",
  "dos_at_fermi_per_ev_fu": 5.1,
  "m_tot_mub_per_cell": 0.0,
  "lattice": [[-4.580, 4.580, 4.464], [4.580, -4.580, 4.464], [4.580, 4.580, -4.464]],
  "species": ["Pr", "Pr", "Pr", "Pr", "Pr", "Pr", "Pr", "Pr", "Rh", "Rh", "Rh", "Rh", "Au", "Au"],
  "fractional_positions": [[0.012, 0.390, 0.253], [0.137, 0.759, 0.747], [0.140, 0.262, 0.753], [0.241, 0.988, 0.378], [0.509, 0.387, 0.247], [0.610, 0.863, 0.622], [0.613, 0.860, 0.122], [0.738, 0.491, 0.878], [0.245, 0.625, 0.120], [0.375, 0.495, 0.620], [0.505, 0.125, 0.880], [0.875, 0.755, 0.380], [0.000, 0.000, 0.000], [0.750, 0.250, 0.500]]
}



Version B
{
  "formula": "Pr4Rh2Au",
  "functional": "GGA-PBE",
  "state": "relaxed",
  "spacegroup": "R-3m",
  "dos_at_fermi_per_ev_fu": 5.7,
  "m_tot_mub_per_cell": 0.0,
  "lattice": [[2.288, 1.321, 10.838], [-2.288, 1.321, 10.838], [0.000, -2.642, 10.838]],
  "species": ["Pr", "Pr", "Pr", "Pr", "Rh", "Rh", "Au"],
  "fractional_positions": [[0.117, 0.117, 0.117], [0.297, 0.297, 0.297], [0.703, 0.703, 0.703], [0.883, 0.883, 0.883], [0.408, 0.408, 0.408], [0.592, 0.592, 0.592], [0.500, 0.500, 0.500]]
}



Verdict on stability: version B comes out at the bottom.



Version A
{
  "formula": "Pr8RhAu2",
  "functional": "GGA-PBE",
  "state": "relaxed",
  "spacegroup": "C2/m",
  "dos_at_fermi_per_ev_fu": 11.1,
  "m_tot_mub_per_cell": 0.0,
  "lattice": [[9.084, -2.586, 0.000], [9.084, 2.586, 0.000], [-1.086, 0.000, 7.072]],
  "species": ["Pr", "Pr", "Pr", "Pr", "Pr", "Pr", "Pr", "Pr", "Rh", "Au", "Au"],
  "fractional_positions": [[0.026, 0.026, 0.279], [0.204, 0.204, 0.829], [0.343, 0.343, 0.529], [0.412, 0.412, 0.052], [0.588, 0.588, 0.948], [0.657, 0.657, 0.471], [0.796, 0.796, 0.171], [0.974, 0.974, 0.721], [0.500, 0.500, 0.500], [0.193, 0.193, 0.243], [0.807, 0.807, 0.757]]
}



Version B
{
  "formula": "Pr8RhAu2",
  "functional": "GGA-PBE",
  "state": "relaxed",
  "spacegroup": "Cm",
  "dos_at_fermi_per_ev_fu": 14.9,
  "m_tot_mub_per_cell": 0.0,
  "lattice": [[4.689, -6.650, 0.000], [4.689, 6.650, 0.000], [-2.736, 0.000, 5.703]],
  "species": ["Pr", "Pr", "Pr", "Pr", "Pr", "Pr", "Pr", "Pr", "Rh", "Au", "Au"],
  "fractional_positions": [[0.000, 0.000, 0.000], [0.224, 0.511, 0.255], [0.259, 0.998, 0.577], [0.472, 0.753, 0.904], [0.511, 0.224, 0.255], [0.729, 0.729, 0.441], [0.753, 0.472, 0.904], [0.998, 0.259, 0.577], [0.384, 0.384, 0.944], [0.054, 0.657, 0.696], [0.657, 0.054, 0.696]]
}



Verdict on stability: version B comes out at the bottom.



Version A
{
  "formula": "Pr6Ru2Au",
  "functional": "GGA-PBE",
  "state": "relaxed",
  "spacegroup": "Immm",
  "dos_at_fermi_per_ev_fu": 7.7,
  "m_tot_mub_per_cell": 0.0,
  "lattice": [[-4.890, 4.917, 5.295], [4.890, -4.917, 5.295], [4.890, 4.917, -5.295]],
  "species": ["Pr", "Pr", "Pr", "Pr", "Pr", "Pr", "Pr", "Pr", "Pr", "Pr", "Pr", "Pr", "Ru", "Ru", "Ru", "Ru", "Au", "Au"],
  "fractional_positions": [[0.046, 0.239, 0.807], [0.181, 0.282, 0.463], [0.181, 0.718, 0.899], [0.328, 0.014, 0.685], [0.328, 0.643, 0.315], [0.432, 0.239, 0.193], [0.568, 0.761, 0.807], [0.672, 0.357, 0.685], [0.672, 0.986, 0.315], [0.819, 0.282, 0.101], [0.819, 0.718, 0.537], [0.954, 0.761, 0.193], [0.124, 0.624, 0.500], [0.324, 0.000, 0.324], [0.676, 0.000, 0.676], [0.876, 0.376, 0.500], [0.000, 0.000, 0.000], [0.500, 0.500, 0.000]]
}



Version B
{
  "formula": "Pr6Ru2Au",
  "functional": "GGA-PBE",
  "state": "relaxed",
  "spacegroup": "C2/m",
  "dos_at_fermi_per_ev_fu": 9.0,
  "m_tot_mub_per_cell": 0.0,
  "lattice": [[7.032, -2.302, 0.000], [7.032, 2.302, 0.000], [-6.040, 0.000, 8.362]],
  "species": ["Pr", "Pr", "Pr", "Pr", "Pr", "Pr", "Ru", "Ru", "Au"],
  "fractional_positions": [[0.007, 0.007, 0.190], [0.272, 0.272, 0.876], [0.351, 0.351, 0.472], [0.649, 0.649, 0.528], [0.728, 0.728, 0.124], [0.993, 0.993, 0.810], [0.397, 0.397, 0.228], [0.603, 0.603, 0.772], [0.000, 0.000, 0.500]]
}



Verdict on stability: version B comes out at the bottom.